# SrCoBO4 | Alexandria | GGA+U | relaxed
data_SrCoBO4
_space_group_name_H-M_alt 'P 1'
_space_group_IT_number 1
_space_group_name_Hall 'P 1'
_cell_length_a 5.213
_cell_length_b 5.213
_cell_length_c 5.079
_cell_angle_alpha 120.88
_cell_angle_beta 120.88
_cell_angle_gamma 90.00
loop_
_atom_site_label
_atom_site_fract_x
_atom_site_fract_y
_atom_site_fract_z
Sr1 0.000 0.000 0.000
Co1 0.500 0.500 0.000
B1 0.250 0.750 0.500
O1 0.252 0.077 0.731
O2 0.346 0.748 0.269
O3 0.479 0.654 0.731
O4 0.923 0.521 0.269
# calculated total energy: -6.81 eV/atom